Compound: W2NF
Source: the Alexandria database
Functional: PBE with a Hubbard U
Structure: relaxed

Cell: 4.0808 4.0808 4.0808 Å, 60.00 60.00 60.00°
Last column: nearest neighbours and their distance in Å.
Element x y z (fractional)
W (0.2500, 0.2500, 0.2500)  4 F 2.50, 4 N 2.50
W (0.7500, 0.7500, 0.7500)  4 F 2.50, 4 N 2.50
N (0.0000, 0.0000, 0.0000)  8 W 2.50
F (0.5000, 0.5000, 0.5000)  8 W 2.50

Results
calculated volume = 12.01 Å³/atom
electronic total energy = -5.081 eV/atom
ΔE to the lowest computed polymorph = 2.767 eV per formula unit